A plane-wave DFT calculation with GGA-PBE was carried out for a relaxed structure of Sm2CdIr.

Lattice parameters (Å, degrees): 4.0870 4.0870 8.3132 75.77 75.77 60.00
Fractional positions:
Ir1 0.0000 0.0000 0.0000
Sm1 0.2685 0.2685 0.1944
Sm2 0.7315 0.7315 0.8056
Cd1 0.5000 0.5000 0.5000

* energy relative to the lowest polymorph listed for this composition: 72 meV per atom
* raw total energy: -5.2554 eV/atom
* total magnetization: 0.00 μB per formula unit

---

A plane-wave DFT calculation with GGA-PBE was carried out for a relaxed structure of AlZn3Au2.

Lattice parameters (Å, degrees): 4.4795 7.6211 7.6211 121.20 90.00 90.00
Fractional positions:
Al1 0.9929 0.7029 0.7029
Al2 0.4929 0.2971 0.2971
Zn1 0.9930 0.8983 0.4601
Zn2 0.4930 0.5399 0.1017
Zn3 0.9930 0.4601 0.8983
Zn4 0.4930 0.1017 0.5399
Zn5 0.4935 0.9310 0.9310
Zn6 0.9935 0.0690 0.0690
Au1 0.4928 0.7474 0.5222
Au2 0.9928 0.4778 0.2526
Au3 0.4928 0.5222 0.7474
Au4 0.9928 0.2526 0.4778

* raw total energy: -2.5060 eV/atom
* total magnetization: 0.00 μB per formula unit

---

A plane-wave DFT calculation with GGA-PBE was carried out for a relaxed structure of TmTh4Te5.

Lattice parameters (Å, degrees): 3.8406 3.8406 19.1051 90.00 90.00 90.00
Fractional positions:
Tm1 0.0000 0.0000 0.0000
Th1 0.0000 0.0000 0.1970
Th2 0.0000 0.0000 0.3987
Th3 0.0000 0.0000 0.6013
Th4 0.0000 0.0000 0.8030
Te1 0.5000 0.5000 0.0972
Te2 0.5000 0.5000 0.2982
Te3 0.5000 0.5000 0.5000
Te4 0.5000 0.5000 0.7018
Te5 0.5000 0.5000 0.9028

* formation energy (no corrections): -1.08 eV/atom
* raw total energy: -6.0680 eV/atom
* total magnetization: 0.00 μB per formula unit

---

A plane-wave DFT calculation with GGA-PBE was carried out for a relaxed structure of LiSmGa2Au4.

Lattice parameters (Å, degrees): 4.5259 4.5259 8.8639 75.21 75.21 60.00
Fractional positions:
Li1 0.5000 0.5000 0.5000
Sm1 0.0000 0.0000 0.0000
Ga1 0.7570 0.7570 0.7290
Ga2 0.2430 0.2430 0.2710
Au1 0.3965 0.3965 0.8105
Au2 0.8653 0.8653 0.4040
Au3 0.1347 0.1347 0.5960
Au4 0.6035 0.6035 0.1895

* raw total energy: -3.7717 eV/atom
* total magnetization: 0.00 μB per formula unit

---

A plane-wave DFT calculation with GGA-PBE was carried out for a relaxed structure of TaSb3Pd12.

Lattice parameters (Å, degrees): 4.0233 4.0233 16.2895 90.00 90.00 90.00
Fractional positions:
Ta1 0.0000 0.0000 0.0000
Sb1 0.0000 0.0000 0.2522
Sb2 0.0000 0.0000 0.5000
Sb3 0.0000 0.0000 0.7478
Pd1 0.5000 0.5000 0.0000
Pd2 0.5000 0.5000 0.2436
Pd3 0.5000 0.5000 0.5000
Pd4 0.5000 0.5000 0.7564
Pd5 0.5000 0.0000 0.1162
Pd6 0.5000 0.0000 0.3732
Pd7 0.5000 0.0000 0.6268
Pd8 0.5000 0.0000 0.8838
Pd9 0.0000 0.5000 0.1162
Pd10 0.0000 0.5000 0.3732
Pd11 0.0000 0.5000 0.6268
Pd12 0.0000 0.5000 0.8838

* formation energy (no corrections): -0.39 eV/atom
* raw total energy: -5.7963 eV/atom
* total magnetization: 0.00 μB per formula unit

---

A plane-wave DFT calculation with GGA-PBE was carried out for a relaxed structure of Li2YCo.

Lattice parameters (Å, degrees): 4.5402 4.5402 4.5402 60.00 60.00 60.00
Fractional positions:
Y1 0.5000 0.5000 0.5000
Co1 0.0000 0.0000 0.0000
Li1 0.2500 0.2500 0.2500
Li2 0.7500 0.7500 0.7500

* energy relative to the lowest polymorph listed for this composition: 215 meV per atom
* raw total energy: -4.0429 eV/atom
* total magnetization: 0.00 μB per formula unit